No. 1
A plane-wave DFT calculation with GGA-PBE was carried out for a relaxed structure of Nd2HoEr4.

Lattice parameters (Å, degrees): 6.0242 8.4854 9.8751 84.99 72.41 69.31
Last column: nearest neighbours and their distance in Å.
Space group P1 (No. 1)
Symmetry-distinct sites (fractional):
Nd1 0.0000 0.0000 0.0000 x1  8 Er 3.49-3.68, 2 Nd 3.56, 2 Ho 3.71
Nd2 0.0122 0.9288 0.3585 x1  7 Er 3.33-3.70, 2 Nd 3.56-3.69, 1 Ho 3.56
Nd3 0.1930 0.4993 0.5000 x1  8 Er 3.49-3.66, 2 Ho 3.57, 2 Nd 3.69-3.70
Nd4 0.3009 0.0688 0.6418 x1  7 Er 3.34-3.68, 2 Nd 3.56-3.70, 1 Ho 3.58
Ho1 0.1855 0.5677 0.1390 x1  8 Er 3.35-3.73, 3 Nd 3.56-3.71
Ho2 0.8967 0.4321 0.8607 x1  8 Er 3.35-3.73, 3 Nd 3.57-3.71
Er1 0.3697 0.6420 0.7783 x1  5 Er 3.32-3.68, 2 Ho 3.35-3.47, 3 Nd 3.52-3.68
Er2 0.3982 0.1462 0.2758 x1  4 Er 3.32-3.67, 4 Nd 3.33-3.68, 1 Ho 3.64
Er3 0.4448 0.2179 0.9216 x1  3 Ho 3.37-3.66, 4 Er 3.44-3.68, 3 Nd 3.49-3.63
Er4 0.5814 0.7822 0.0775 x1  3 Ho 3.37-3.66, 4 Er 3.44-3.68, 3 Nd 3.50-3.62
Er5 0.6164 0.7122 0.4218 x1  5 Nd 3.38-3.67, 5 Er 3.41-3.76, 1 Ho 3.59
Er6 0.7526 0.2864 0.5772 x1  5 Nd 3.39-3.68, 5 Er 3.43-3.76, 1 Ho 3.60
Er7 0.7857 0.3577 0.2215 x1  5 Er 3.32-3.68, 2 Ho 3.35-3.47, 3 Nd 3.51-3.70
Er8 0.8239 0.8529 0.7242 x1  4 Er 3.32-3.66, 4 Nd 3.34-3.66, 1 Ho 3.63

Summary:
Crystal system: triclinic
E above lowest polymorph (meV/atom): 70
E_tot (eV per cell): -63.6
Size of the total moment (μB per formula unit): 0.00
Calculated formation energy (eV per formula unit): 0.56

No. 2
A plane-wave DFT calculation with GGA-PBE was carried out for a relaxed structure of BaLiLaGe.

Lattice parameters (Å, degrees): 7.8559 7.8559 7.8559 90.00 90.00 90.00
Last column: nearest neighbours and their distance in Å.
Space group F-43m (No. 216)
Symmetry-distinct sites (fractional):
Ba1 0.0000 0.0000 0.0000 x4  4 Ge 3.40, 4 Li 3.40
Li1 0.2500 0.2500 0.7500 x4  4 Ba 3.40, 4 La 3.40
La1 0.0000 0.0000 0.5000 x4  4 Ge 3.40, 4 Li 3.40
Ge1 0.2500 0.2500 0.2500 x4  4 Ba 3.40, 4 La 3.40

Summary:
Crystal system: cubic
E_tot (eV per cell): -57.9
Size of the total moment (μB per formula unit): 0.00
Calculated formation energy (eV per formula unit): -1.09

No. 3
A plane-wave DFT calculation with GGA-PBE was carried out for a relaxed structure of Sm3CoSeCl.

Lattice parameters (Å, degrees): 7.7906 3.8356 10.6847 90.00 109.78 90.00
Last column: nearest neighbours and their distance in Å.
Space group P2_1/m (No. 11)
Symmetry-distinct sites (fractional):
Sm1 0.0348 0.2500 0.2807 x2  3 Co 2.74-2.94, 1 Cl 2.90, 2 Se 3.06
Sm2 0.2400 0.2500 0.0408 x2  3 Cl 2.93-3.01, 2 Se 3.07
Sm3 0.3511 0.7500 0.5811 x2  3 Co 2.92-2.98, 3 Se 3.04-3.20, 1 Cl 3.15
Co1 0.0543 0.2500 0.5413 x2  2 Co 2.16
Se1 0.3402 0.7500 0.2790 x2  7 Sm 3.04-3.20
Cl1 0.3507 0.7500 0.8758 x2  5 Sm 2.90-3.15

Summary:
Crystal system: monoclinic
Energy relative to the elements, uncorrected (eV/atom): -1.027
E_tot (eV per cell): -65.5
Size of the total moment (μB per formula unit): 0.87

No. 4
A plane-wave DFT calculation with GGA-PBE was carried out for a relaxed structure of Zr2MnCu.

Lattice parameters (Å, degrees): 3.0704 3.0704 27.0665 90.00 90.00 120.00
Last column: nearest neighbours and their distance in Å.
Space group R-3m (No. 166, hexagonal axes)
Symmetry-distinct sites (fractional):
Zr1 0.0000 0.0000 0.2504 x6  3 Cu 2.86, 3 Mn 2.88, 6 Zr 3.07
Mn1 0.0000 0.0000 0.5000 x3  6 Zr 2.88, 6 Mn 3.07
Cu1 0.0000 0.0000 0.0000 x3  6 Zr 2.86, 6 Cu 3.07

Summary:
Crystal system: trigonal
E above lowest polymorph (meV/atom): 344
E_tot (eV per cell): -88.2
Size of the total moment (μB per formula unit): 2.74
Calculated formation energy (eV per formula unit): 0.96